VASP calculation (GGA-PBE) on a relaxed BeOs2Pd2 crystal.

## Properties
Energy relative to the lowest polymorph listed for this composition = 239.2 meV per atom
V = 163 Å³ per cell
Energy relative to the elements = 0.675 eV per atom

a = 3.451 Å, b = 3.451 Å, c = 13.691 Å
α = 90.00°, β = 90.00°, γ = 90.00°
Space group I4/mmm (No. 139)
Symmetry-distinct sites (fractional):
Be 0.000 0.000 0.000 (multiplicity 2)
Os 0.000 0.500 0.250 (multiplicity 4)
Pd 0.000 0.000 0.406 (multiplicity 4)

VASP calculation (GGA-PBE) on a relaxed Sm7Y3Sc crystal.

## Properties
Energy relative to the lowest polymorph listed for this composition = 131.0 meV per atom
V = 377 Å³ per cell
Energy relative to the elements = 0.189 eV per atom

a = 7.0946 Å, b = 7.0946 Å, c = 8.6488 Å
α = 90.00°, β = 90.00°, γ = 120.00°
Space group P3m1 (No. 156)
Symmetry-distinct sites (fractional):
Sm 0.0000 0.0000 0.0000 (multiplicity 1)
Sm 0.0033 0.5016 0.9944 (multiplicity 3)
Sm 0.3311 0.1656 0.3293 (multiplicity 3)
Y 0.1680 0.3359 0.6571 (multiplicity 3)
Sc 0.3333 0.6667 0.3223 (multiplicity 1)

VASP calculation (GGA-PBE) on a relaxed Sc2VZnH crystal.

## Properties
V = 77 Å³ per cell

a = 4.617 Å, b = 4.617 Å, c = 3.610 Å
α = 90.00°, β = 90.00°, γ = 90.00°
Space group P4/mmm (No. 123)
Symmetry-distinct sites (fractional):
Sc 0.000 0.500 0.000 (multiplicity 2)
V 0.000 0.000 0.500 (multiplicity 1)
Zn 0.500 0.500 0.500 (multiplicity 1)
H 0.000 0.000 0.000 (multiplicity 1)

VASP calculation (GGA-PBE) on a relaxed CsTa3Mn crystal.

## Properties
Energy relative to the lowest polymorph listed for this composition = 1765.2 meV per atom
V = 126 Å³ per cell
Energy relative to the elements = 3.233 eV per atom

a = 5.012 Å, b = 5.012 Å, c = 5.012 Å
α = 90.00°, β = 90.00°, γ = 90.00°
Space group Pm-3m (No. 221)
Symmetry-distinct sites (fractional):
Cs 0.000 0.000 0.000 (multiplicity 1)
Ta 0.000 0.000 0.500 (multiplicity 3)
Mn 0.500 0.500 0.500 (multiplicity 1)

no.,VASP energy (eV per atom)
1,-6.6392
2,-5.1527
3,-5.4285
4,-5.8830